Material: LiMn2O3F
Method: DFT, PBE+U
State: optimized geometry

Crystal system ... monoclinic
Relative energy among the computed polymorphs ... 0.039 eV/atom
Total magnetic moment ... 1.143 μB per atom

```
data_LiMn2O3F
_chemical_formula_sum 'Li8 Mn16 O24 F8'
_cell_length_a 13.673
_cell_length_b 8.385
_cell_length_c 6.101
_cell_angle_alpha 90.00
_cell_angle_beta 115.79
_cell_angle_gamma 90.00
_symmetry_space_group_name_H-M 'C 1 c 1'
_symmetry_Int_Tables_number 9
loop_
_symmetry_equiv_pos_as_xyz
'x,y,z'
'x,-y,z+1/2'
'x+1/2,y+1/2,z'
'x+1/2,-y+1/2,z+1/2'
loop_
_atom_site_label
_atom_site_type_symbol
_atom_site_fract_x
_atom_site_fract_y
_atom_site_fract_z
_atom_site_occupancy
Li1 Li 0.000 0.118 0.000 1
Li2 Li 0.259 0.131 0.295 1
Mn1 Mn 0.001 0.494 0.765 1
Mn2 Mn 0.136 0.234 0.665 1
Mn3 Mn 0.256 0.499 0.047 1
Mn4 Mn 0.379 0.256 0.919 1
O1 O 0.010 0.252 0.733 1
O2 O 0.120 0.483 0.599 1
O3 O 0.246 0.273 0.021 1
O4 O 0.258 0.262 0.581 1
O5 O 0.366 0.487 0.923 1
O6 O 0.395 0.021 0.929 1
F1 F 0.008 0.255 0.264 1
F2 F 0.131 0.001 0.139 1
```